No. 1
{
  "formula": "Pu5Au",
  "functional": "PBE",
  "state": "relaxed",
  "lattice": [[2.6873, -7.2681, 0.0000], [2.6873, 7.2681, 0.0000], [0.0000, 0.0000, 3.3243]],
  "species": ["Pu", "Pu", "Pu", "Pu", "Pu", "Au"],
  "frac_coords": [[0.0000, 0.0000, 0.0000], [0.1888, 0.8112, 0.5000], [0.3225, 0.6775, 0.0000], [0.6775, 0.3225, 0.0000], [0.8112, 0.1888, 0.5000], [0.5000, 0.5000, 0.5000]],
  "dos_ef_per_ev_atom": 3.901,
  "ef_ev_per_atom": 0.044,
  "dft_energy_ev_per_cell": -74.67
}

No. 2
{
  "formula": "PuAu4",
  "functional": "PBE",
  "state": "relaxed",
  "lattice": [[5.4567, 0.0000, 0.0000], [0.0000, 5.4567, 0.0000], [0.0000, 0.0000, 5.4567]],
  "species": ["Pu", "Au", "Au", "Au", "Au"],
  "frac_coords": [[0.0000, 0.0000, 0.0000], [0.0000, 0.0000, 0.5000], [0.0000, 0.5000, 0.0000], [0.5000, 0.0000, 0.0000], [0.5000, 0.5000, 0.5000]],
  "dos_ef_per_ev_atom": 2.735,
  "ef_ev_per_atom": 0.888,
  "dft_energy_ev_per_cell": -23.00
}

No. 3
{
  "formula": "Pu2Au",
  "functional": "PBE",
  "state": "relaxed",
  "lattice": [[2.1287, -2.6657, 0.0000], [2.1287, 2.6657, 0.0000], [0.0000, 0.0000, 10.4333]],
  "species": ["Pu", "Pu", "Pu", "Pu", "Au", "Au"],
  "frac_coords": [[0.1920, 0.8080, 0.5506], [0.1920, 0.8080, 0.9494], [0.8080, 0.1920, 0.0506], [0.8080, 0.1920, 0.4494], [0.3471, 0.6529, 0.2500], [0.6529, 0.3471, 0.7500]],
  "dos_ef_per_ev_atom": 1.929,
  "ef_ev_per_atom": -0.020,
  "dft_energy_ev_per_cell": -64.00
}

No. 4
{
  "formula": "Pu3Au2",
  "functional": "PBE",
  "state": "relaxed",
  "lattice": [[8.0358, 0.0000, 0.0000], [0.0000, 8.0358, 0.0000], [0.0000, 0.0000, 4.0172]],
  "species": ["Pu", "Pu", "Pu", "Pu", "Pu", "Pu", "Au", "Au", "Au", "Au"],
  "frac_coords": [[0.0000, 0.0000, 0.0000], [0.1696, 0.3304, 0.5000], [0.3304, 0.8304, 0.5000], [0.5000, 0.5000, 0.0000], [0.6696, 0.1696, 0.5000], [0.8304, 0.6696, 0.5000], [0.1280, 0.6280, 0.0000], [0.3720, 0.1280, 0.0000], [0.6280, 0.8720, 0.0000], [0.8720, 0.3720, 0.0000]],
  "dos_ef_per_ev_atom": 5.455,
  "ef_ev_per_atom": -0.264,
  "dft_energy_ev_per_cell": -101.74
}

No. 5
{
  "formula": "PuAu12",
  "functional": "PBE",
  "state": "relaxed",
  "lattice": [[0.0000, 5.7163, 5.7163], [5.7163, 0.0000, 5.7163], [5.7163, 5.7163, 0.0000]],
  "species": ["Pu", "Au", "Au", "Au", "Au", "Au", "Au", "Au", "Au", "Au", "Au", "Au", "Au"],
  "frac_coords": [[0.0000, 0.0000, 0.0000], [0.1607, 0.5000, 0.5000], [0.1607, 0.5000, 0.8393], [0.1607, 0.8393, 0.5000], [0.5000, 0.1607, 0.5000], [0.5000, 0.1607, 0.8393], [0.5000, 0.5000, 0.1607], [0.5000, 0.5000, 0.8393], [0.5000, 0.8393, 0.1607], [0.5000, 0.8393, 0.5000], [0.8393, 0.1607, 0.5000], [0.8393, 0.5000, 0.1607], [0.8393, 0.5000, 0.5000]],
  "dos_ef_per_ev_atom": 2.217,
  "ef_ev_per_atom": 0.495,
  "dft_energy_ev_per_cell": -47.22
}

No. 6
{
  "formula": "Pu5Au3",
  "functional": "PBE",
  "state": "relaxed",
  "lattice": [[3.1008, 0.0000, 0.0000], [0.1269, 8.0924, 0.0000], [0.0237, 4.0181, 7.2976]],
  "species": ["Pu", "Pu", "Pu", "Pu", "Pu", "Au", "Au", "Au"],
  "frac_coords": [[0.0000, 0.0000, 0.0000], [0.0021, 0.2487, 0.5071], [0.6046, 0.8129, 0.7651], [0.9682, 0.4931, 0.0111], [0.9702, 0.7465, 0.5082], [0.4814, 0.1177, 0.2633], [0.4830, 0.3759, 0.7580], [0.4833, 0.6303, 0.2500]],
  "dos_ef_per_ev_atom": 3.535,
  "ef_ev_per_atom": -0.216,
  "dft_energy_ev_per_cell": -83.22
}

No. 7
{
  "formula": "Pu6Au",
  "functional": "PBE",
  "state": "relaxed",
  "lattice": [[-3.3328, 3.3328, 3.3328], [3.3328, -3.3328, 3.3328], [3.3328, 3.3328, -3.3328]],
  "species": ["Pu", "Pu", "Pu", "Pu", "Pu", "Pu", "Au"],
  "frac_coords": [[0.2500, 0.5000, 0.7500], [0.2500, 0.7500, 0.5000], [0.5000, 0.2500, 0.7500], [0.5000, 0.7500, 0.2500], [0.7500, 0.2500, 0.5000], [0.7500, 0.5000, 0.2500], [0.0000, 0.0000, 0.0000]],
  "dos_ef_per_ev_atom": 1.898,
  "ef_ev_per_atom": 0.378,
  "dft_energy_ev_per_cell": -86.62
}

No. 8
{
  "formula": "Pu6Au5",
  "functional": "PBE",
  "state": "relaxed",
  "lattice": [[3.0493, 0.0000, 0.0000], [0.1521, 7.8820, 0.0000], [0.2358, 0.4046, 10.0548]],
  "species": ["Pu", "Pu", "Pu", "Pu", "Pu", "Pu", "Au", "Au", "Au", "Au", "Au"],
  "frac_coords": [[0.0057, 0.4225, 0.2211], [0.0449, 0.7979, 0.3349], [0.1183, 0.9801, 0.8532], [0.8817, 0.0199, 0.1468], [0.9551, 0.2021, 0.6651], [0.9943, 0.5775, 0.7789], [0.4689, 0.1451, 0.3996], [0.4974, 0.6978, 0.0417], [0.5000, 0.5000, 0.5000], [0.5026, 0.3022, 0.9583], [0.5311, 0.8549, 0.6004]],
  "dos_ef_per_ev_atom": 3.065,
  "ef_ev_per_atom": -0.269,
  "dft_energy_ev_per_cell": -105.34
}

No. 9
{
  "formula": "Pu3Au2",
  "functional": "PBE",
  "state": "relaxed",
  "lattice": [[-2.2721, 3.5300, 3.9601], [2.2721, -3.5300, 3.9601], [2.2721, 3.5300, -3.9601]],
  "species": ["Pu", "Pu", "Pu", "Au", "Au"],
  "frac_coords": [[0.0000, 0.0000, 0.0000], [0.2921, 0.7921, 0.5000], [0.7079, 0.2079, 0.5000], [0.2971, 0.5000, 0.7971], [0.7029, 0.5000, 0.2029]],
  "dos_ef_per_ev_atom": 4.600,
  "ef_ev_per_atom": -0.227,
  "dft_energy_ev_per_cell": -50.69
}

No. 10
{
  "formula": "Pu5Au6",
  "functional": "PBE",
  "state": "relaxed",
  "lattice": [[8.0608, -3.6504, 0.0000], [8.0608, 3.6504, 0.0000], [-1.5988, 0.0000, 4.8393]],
  "species": ["Pu", "Pu", "Pu", "Pu", "Pu", "Au", "Au", "Au", "Au", "Au", "Au"],
  "frac_coords": [[0.0000, 0.0000, 0.0000], [0.1719, 0.1719, 0.6727], [0.3516, 0.3516, 0.3503], [0.6484, 0.6484, 0.6497], [0.8281, 0.8281, 0.3273], [0.0613, 0.5903, 0.8249], [0.2240, 0.7760, 0.5000], [0.4097, 0.9387, 0.1751], [0.5903, 0.0613, 0.8249], [0.7760, 0.2240, 0.5000], [0.9387, 0.4097, 0.1751]],
  "dos_ef_per_ev_atom": 6.257,
  "ef_ev_per_atom": -0.272,
  "dft_energy_ev_per_cell": -94.32
}